Record 1
Compound: In2IrSe
Source: Alexandria
Functional: GGA-PBE
Structure: optimized geometry

Properties
- Formation energy from raw total energies: 264 meV/atom
- Space group: Immm

Cell: 5.2092 5.2092 5.2092 Å, 135.13 124.87 73.72°
Closest atoms and distances in Å follow each position.
Sites, in units of the cell vectors:
In1 0.5096 0.5096 0.0000  2 Ir 2.82, 4 Se 2.94-3.13, 4 In 3.13
Se1 0.2500 0.7500 0.5000  8 In 2.94-3.13, 4 Ir 3.12
Ir1 0.7500 0.2500 0.5000  4 In 2.82, 4 Se 3.12
In2 0.9904 0.9904 0.0000  2 Ir 2.82, 4 Se 2.94-3.13, 4 In 3.13

---

Record 2
Compound: La3Pr2Os2
Source: Alexandria
Functional: GGA-PBE
Structure: optimized geometry

Properties
- Space group: C2/m
- Formation enthalpy at 0 K: -0.1031 eV per atom

Cell: 4.0480 6.5720 8.8398 Å, 101.48 103.20 107.95°
Closest atoms and distances in Å follow each position.
Sites, in units of the cell vectors:
Pr1 0.3603 0.5308 0.1891  2 Os 2.91
Os1 0.9436 0.1218 0.7662  2 Pr 2.91, 5 La 2.93-3.10
Pr2 0.6397 0.4692 0.8109  2 Os 2.91
La1 0.8027 0.1824 0.4232  3 Os 2.93-3.08
La2 0.5000 0.0000 0.0000  4 Os 3.10
La3 0.1973 0.8176 0.5768  3 Os 2.93-3.08
Os2 0.0564 0.8782 0.2338  2 Pr 2.91, 5 La 2.93-3.10

---

Record 3
Compound: K2LaBe
Source: Alexandria
Functional: GGA-PBE
Structure: optimized geometry

Properties
- Space group: Cmmm
- Formation enthalpy at 0 K: 0.9301 eV per atom

Cell: 7.2294 7.2294 3.5942 Å, 90.00 90.00 123.71°
Closest atoms and distances in Å follow each position.
Sites, in units of the cell vectors:
La1 0.5000 0.0000 0.5000  2 Be 3.41, 2 La 3.59
K1 0.0000 0.0000 0.0000  4 K 3.41-3.59
Be1 0.0000 0.5000 0.5000  2 La 3.41, 2 Be 3.59
K2 0.5000 0.5000 0.0000  4 K 3.41-3.59

---

Record 4
Compound: TmZn7Co5
Source: Alexandria
Functional: GGA-PBE
Structure: optimized geometry

Properties
- Space group: Cm
- Formation enthalpy at 0 K: -0.1507 eV per atom

Cell: 4.9485 6.5163 6.5163 Å, 81.61 67.89 67.89°
Closest atoms and distances in Å follow each position.
Sites, in units of the cell vectors:
Co1 0.9987 0.5116 0.9994  3 Co 2.43-2.52, 7 Zn 2.47-2.62
Zn1 0.6744 0.3270 0.3270  4 Co 2.59, 5 Zn 2.62-2.87
Zn2 0.9912 0.3525 0.6642  5 Co 2.57-2.63, 4 Zn 2.65-2.75
Zn3 0.3480 0.6506 0.6506  6 Co 2.57-2.68, 3 Zn 2.76-2.77, 1 Tm 2.83
Co2 0.9987 0.9994 0.5116  3 Co 2.43-2.52, 7 Zn 2.47-2.62
Co3 0.4903 0.5119 0.9993  3 Co 2.43-2.52, 7 Zn 2.46-2.63
Co4 0.7282 0.7714 0.7714  4 Co 2.43, 6 Zn 2.61-2.68
Zn4 0.4985 0.2142 0.7893  5 Co 2.46-2.68, 3 Zn 2.65-2.72
Tm1 0.0190 0.9813 0.9813  8 Zn 2.83-3.07, 6 Co 3.05-3.09
Co5 0.4903 0.9993 0.5119  3 Co 2.43-2.52, 7 Zn 2.46-2.63
Zn5 0.4985 0.7893 0.2142  5 Co 2.46-2.68, 3 Zn 2.65-2.72
Zn6 0.2731 0.2272 0.2272  4 Co 2.51, 6 Zn 2.62-2.75
Zn7 0.9912 0.6642 0.3525  5 Co 2.57-2.63, 4 Zn 2.65-2.75

---

Record 5
Compound: Tl2NiW
Source: Alexandria
Functional: GGA-PBE
Structure: optimized geometry

Properties
- Space group: I4/mmm
- Offset from the most stable computed form: 531.9 meV/atom
- Formation enthalpy at 0 K: 1.0546 eV per atom

Cell: 5.1424 5.1424 5.1424 Å, 131.55 131.55 70.94°
Closest atoms and distances in Å follow each position.
Sites, in units of the cell vectors:
Ni1 0.7500 0.2500 0.5000  8 Tl 2.97, 4 W 2.98
Tl1 0.0000 0.0000 0.0000  4 W 2.97, 4 Ni 2.97, 4 Tl 2.98
W1 0.2500 0.7500 0.5000  8 Tl 2.97, 4 Ni 2.98
Tl2 0.5000 0.5000 0.0000  4 Ni 2.97, 4 W 2.97, 4 Tl 2.98

---

Record 6
Compound: TcSb2TeC
Source: Alexandria
Functional: GGA-PBE
Structure: optimized geometry

Properties
- Formation energy from raw total energies: 1295 meV/atom
- Space group: P4/mmm
- Offset from the most stable computed form: 0.0 meV/atom

Cell: 4.6671 4.6671 4.6044 Å, 90.00 90.00 90.00°
Closest atoms and distances in Å follow each position.
Sites, in units of the cell vectors:
Te1 0.0000 0.0000 0.5000  2 C 2.30
Sb1 0.5000 0.0000 0.0000  2 C 2.33
Tc1 0.5000 0.5000 0.5000  8 Sb 3.28, 4 Te 3.30
C1 0.0000 0.0000 0.0000  2 Te 2.30, 4 Sb 2.33
Sb2 0.0000 0.5000 0.0000  2 C 2.33

---

We obtain V values of 79.90, 208.40, 156.27, 180.35, 74.58, 100.29 Å³/f.u. for the records listed above, in that order.